1.
BeNi | PBE | optimized geometry

Computed properties:
As for the space group: P4/nmm (129). For the formation enthalpy at 0 K, the calculation gives -0.259 eV per atom. Its density of states at the Fermi level is 1.30 states/eV/f.u.

a = 2.6437 Å, b = 2.6437 Å, c = 5.2339 Å
α = 90.00°, β = 90.00°, γ = 90.00°
Sites, in units of the cell vectors:
Be 0.2500 0.2500 0.1160
Be 0.7500 0.7500 0.8840
Ni 0.2500 0.2500 0.6578
Ni 0.7500 0.7500 0.3422

=====

2.
LiMg | PBE | optimized geometry

Computed properties:
As for the space group: Pm-3n (223). For the formation enthalpy at 0 K, the calculation gives 0.719 eV per atom. Its density of states at the Fermi level is 2.16 states/eV/f.u.

a = 7.9861 Å, b = 7.9861 Å, c = 7.9861 Å
α = 90.00°, β = 90.00°, γ = 90.00°
Sites, in units of the cell vectors:
Li 0.0000 0.2500 0.5000
Li 0.0000 0.7500 0.5000
Li 0.2500 0.5000 0.0000
Li 0.5000 0.0000 0.2500
Li 0.5000 0.0000 0.7500
Li 0.7500 0.5000 0.0000
Mg 0.0000 0.5000 0.2500
Mg 0.0000 0.5000 0.7500
Mg 0.2500 0.0000 0.5000
Mg 0.5000 0.2500 0.0000
Mg 0.5000 0.7500 0.0000
Mg 0.7500 0.0000 0.5000

=====

3.
K3AgI4 | PBE | optimized geometry

Computed properties:
As for the space group: Pnma (62). As for the uncorrected formation energy: -109 kJ per mole of atoms. As for the offset from the most stable computed form: 0.0 meV per atom. Its density of states at the Fermi level is 0.00 states/eV/f.u.

a = 9.4158 Å, b = 12.6962 Å, c = 11.2175 Å
α = 90.00°, β = 90.00°, γ = 90.00°
Sites, in units of the cell vectors:
K 0.0137 0.0326 0.2136
K 0.0137 0.4674 0.2136
K 0.0721 0.7500 0.4478
K 0.4279 0.2500 0.9478
K 0.4863 0.5326 0.7136
K 0.4863 0.9674 0.7136
K 0.5137 0.0326 0.2864
K 0.5137 0.4674 0.2864
K 0.5721 0.7500 0.0522
K 0.9279 0.2500 0.5522
K 0.9863 0.5326 0.7864
K 0.9863 0.9674 0.7864
Ag 0.1662 0.7500 0.9928
Ag 0.3338 0.2500 0.4928
Ag 0.6662 0.7500 0.5072
Ag 0.8338 0.2500 0.0072
I 0.0663 0.2500 0.8460
I 0.2084 0.0439 0.5180
I 0.2084 0.4561 0.5180
I 0.2079 0.7500 0.7322
I 0.2921 0.2500 0.2322
I 0.2916 0.5439 0.0180
I 0.2916 0.9561 0.0180
I 0.4337 0.7500 0.3460
I 0.5663 0.2500 0.6540
I 0.7084 0.0439 0.9820
I 0.7084 0.4561 0.9820
I 0.7079 0.7500 0.7678
I 0.7921 0.2500 0.2678
I 0.7916 0.5439 0.4820
I 0.7916 0.9561 0.4820
I 0.9337 0.7500 0.1540

=====

What did the first record say?
BeNi | PBE | optimized geometry

Computed properties:
As for the space group: P4/nmm (129). For the formation enthalpy at 0 K, the calculation gives -0.259 eV per atom. Its density of states at the Fermi level is 1.30 states/eV/f.u.

a = 2.6437 Å, b = 2.6437 Å, c = 5.2339 Å
α = 90.00°, β = 90.00°, γ = 90.00°
Sites, in units of the cell vectors:
Be 0.2500 0.2500 0.1160
Be 0.7500 0.7500 0.8840
Ni 0.2500 0.2500 0.6578
Ni 0.7500 0.7500 0.3422

=====

Repeat the first record exactly.
BeNi | PBE | optimized geometry

Computed properties:
As for the space group: P4/nmm (129). For the formation enthalpy at 0 K, the calculation gives -0.259 eV per atom. Its density of states at the Fermi level is 1.30 states/eV/f.u.

a = 2.6437 Å, b = 2.6437 Å, c = 5.2339 Å
α = 90.00°, β = 90.00°, γ = 90.00°
Sites, in units of the cell vectors:
Be 0.2500 0.2500 0.1160
Be 0.7500 0.7500 0.8840
Ni 0.2500 0.2500 0.6578
Ni 0.7500 0.7500 0.3422